Entry from the Alexandria database: MgB2 after structural relaxation (PBE).

Values from the calculation:
Its space group is No. 8. For the magnetization, the calculation gives 0.0 μB/cell. The energy above the most stable polymorph in this dataset comes out at 0.990 eV per formula unit. The formation energy comes out at 0.201 eV/atom.

a b c (Å): 3.1439 3.1439 7.6540
angles (deg): 85.21 85.17 68.09
With the nearest neighbours (Å) after each atom.
Atoms (fractional coordinates):
Mg (0.8463, 0.3985, 0.8910)  5 B 2.42-2.66
Mg (0.2553, 0.8095, 0.5355)  5 B 2.44-2.65
B (0.4691, 0.0193, 0.1033)  4 B 1.78-1.79
B (0.4543, 0.5045, 0.2143)  6 B 1.76-1.79
B (0.9351, 0.4862, 0.3252)  4 B 1.77-1.79
B (0.9541, 0.0048, 0.2145)  6 B 1.76-1.79


Entry from the Alexandria database: LiMgNb after structural relaxation (PBE).

Values from the calculation:
Its space group is No. 6. For the magnetization, the calculation gives 0.0 μB/cell. The energy above the most stable polymorph in this dataset comes out at 0.134 eV per formula unit. The formation energy comes out at 0.210 eV/atom.

a b c (Å): 2.7068 4.7020 8.8437
angles (deg): 90.00 91.40 90.00
With the nearest neighbours (Å) after each atom.
Atoms (fractional coordinates):
Nb (0.4900, 0.5000, 0.7565)  4 Nb 2.71-2.94, 2 Li 2.86, 1 Mg 2.98
Nb (0.0726, 0.0000, 0.9068)  4 Nb 2.71-2.94, 1 Li 2.99
Mg (0.0448, 0.5000, 0.4308)  2 Mg 2.71, 4 Li 2.88-3.02
Mg (0.6752, 0.5000, 0.0901)  2 Mg 2.71, 2 Li 2.84, 1 Nb 2.98
Li (0.3819, 0.0000, 0.2448)  2 Li 2.71, 4 Mg 2.84-3.02
Li (0.7042, 0.0000, 0.5853)  2 Li 2.71, 3 Nb 2.86-2.99, 2 Mg 2.88


The evaluated ρ for the records listed, in turn: 2.18 3.66 g/cm3.